VASP calculation (PBE) on a relaxed CrSiS2Cl crystal.

Cell and atoms, written as extended XYZ:
```
5
Lattice="4.673 0.000 0.000 0.000 4.673 0.000 0.000 0.000 4.566" Properties=species:S:1:pos:R:3 pbc="T T T"
Cr 0.000 0.000 0.000
Si 2.337 2.337 2.283
S 0.000 2.337 0.000
S 2.337 0.000 0.000
Cl 0.000 0.000 2.283
```

Computed properties:
Crystal system   tetragonal
DOS(E_F)   2.5 states/eV/f.u.
Magnetic moment   0.612 μB per atom
Formation energy (no corrections)   137 meV/atom
E   -4.893 eV/atom

VASP calculation (PBE) on a relaxed CrSnS2Cl crystal.

Cell and atoms, written as extended XYZ:
```
5
Lattice="4.747 0.000 0.000 0.000 4.747 0.000 0.000 0.000 4.649" Properties=species:S:1:pos:R:3 pbc="T T T"
Cr 0.000 0.000 0.000
Sn 2.374 2.374 2.325
S 0.000 2.374 0.000
S 2.374 0.000 0.000
Cl 0.000 0.000 2.325
```

Computed properties:
Crystal system   tetragonal
DOS(E_F)   2.8 states/eV/f.u.
Magnetic moment   0.611 μB per atom
Formation energy (no corrections)   -351 meV/atom
E   -5.097 eV/atom

VASP calculation (PBE) on a relaxed SrCrSCl2 crystal.

Cell and atoms, written as extended XYZ:
```
5
Lattice="5.457 0.000 0.000 0.000 5.457 0.000 0.000 0.000 5.827" Properties=species:S:1:pos:R:3 pbc="T T T"
Sr 0.000 0.000 0.000
Cr 2.728 2.728 2.913
S 0.000 0.000 2.913
Cl 0.000 2.728 0.000
Cl 2.728 0.000 0.000
```

Computed properties:
Crystal system   tetragonal
DOS(E_F)   5.5 states/eV/f.u.
Magnetic moment   0.799 μB per atom
Formation energy (no corrections)   -511 meV/atom
E   -4.336 eV/atom